# SiAgSN2 GGA-PBE optimized geometry
data_SiAgSN2
_cell_length_a 4.029
_cell_length_b 4.029
_cell_length_c 5.374
_cell_angle_alpha 90.00
_cell_angle_beta 90.00
_cell_angle_gamma 90.00
_space_group_name_H-M_alt 'P 4/m m m'
_space_group_IT_number 123
_space_group_name_Hall '-P 4 2'
loop_
_atom_site_label
_atom_site_fract_x
_atom_site_fract_y
_atom_site_fract_z
Si1 0.000 0.000 0.000
Ag1 0.500 0.500 0.500
S1 0.500 0.500 0.000
N1 0.000 0.500 0.500
# Calculated total energy in eV per atom: -3.876
# Energy relative to the lowest polymorph listed for this composition in eV/f.u.: 7.029
# Crystal system: tetragonal
# Mass density in Mg/m³: 3.7